A relaxed SrSn2Pd6 crystal, computed with GGA-PBE.

Computed properties:
Its formation energy is -3.5 kcal/mol of atoms. The value obtained for the spin magnetization is 0.0 μB per cell. The calculation puts the calculated volume at 416.9 Å³/cell. For the total DFT energy (no corrections), the calculation gives -4.6907 eV per atom.

Structure (CIF):
```
data_SrSn2Pd6
_space_group_name_H-M_alt 'P 1'
_space_group_IT_number 1
_cell_length_a 8.385
_cell_length_b 8.385
_cell_length_c 8.385
_cell_angle_alpha 60.00
_cell_angle_beta 60.00
_cell_angle_gamma 60.00
loop_
_space_group_symop_operation_xyz
'x,y,z'
loop_
_atom_site_label
_atom_site_type_symbol
_atom_site_fract_x
_atom_site_fract_y
_atom_site_fract_z
Pd1 Pd 0.503 0.997 0.997
Sn1 Sn 0.625 0.125 0.125
Pd2 Pd 0.997 0.997 0.503
Pd3 Pd 0.253 0.747 0.253
Pd4 Pd 0.747 0.253 0.747
Sn2 Sn 0.125 0.125 0.125
Pd5 Pd 0.253 0.253 0.747
Sn3 Sn 0.125 0.625 0.125
Pd6 Pd 0.997 0.503 0.997
Pd7 Pd 0.503 0.503 0.997
Pd8 Pd 0.997 0.503 0.503
Pd9 Pd 0.253 0.747 0.747
Pd10 Pd 0.747 0.747 0.253
Sr1 Sr 0.500 0.500 0.500
Sr2 Sr 0.750 0.750 0.750
Pd11 Pd 0.503 0.997 0.503
Pd12 Pd 0.747 0.253 0.253
Sn4 Sn 0.125 0.125 0.625
```

***

A relaxed Ac3Th2ZrN6 crystal, computed with GGA-PBE.

Computed properties:
The calculation puts the uncorrected formation energy at -1341.5 meV/atom. The value obtained for the spin magnetization is 0.0 μB per cell. The calculation puts the calculated volume at 214.4 Å³/cell. For the total DFT energy (no corrections), the calculation gives -8.4803 eV per atom.

Structure (CIF):
```
data_Ac3Th2ZrN6
_space_group_name_H-M_alt 'P 1'
_space_group_IT_number 1
_cell_length_a 6.333
_cell_length_b 6.333
_cell_length_c 6.519
_cell_angle_alpha 99.30
_cell_angle_beta 99.30
_cell_angle_gamma 119.96
loop_
_space_group_symop_operation_xyz
'x,y,z'
loop_
_atom_site_label
_atom_site_type_symbol
_atom_site_fract_x
_atom_site_fract_y
_atom_site_fract_z
Ac1 Ac 0.165 0.835 0.500
Ac2 Ac 0.835 0.165 0.500
N1 N 0.932 0.617 0.796
Th1 Th 0.667 0.333 0.000
Ac3 Ac 0.500 0.500 0.500
Th2 Th 0.333 0.667 0.000
N2 N 0.755 0.755 0.211
N3 N 0.383 0.068 0.204
Zr1 Zr 0.000 0.000 0.000
N4 N 0.068 0.383 0.204
N5 N 0.245 0.245 0.789
N6 N 0.617 0.932 0.796
```

***

A relaxed Ho2PaPt9 crystal, computed with GGA-PBE.

Computed properties:
Its formation energy is -25.1 kcal/mol of atoms. The value obtained for the spin magnetization is 0.0 μB per cell. The calculation puts the calculated volume at 211.6 Å³/cell. For the total DFT energy (no corrections), the calculation gives -7.1751 eV per atom.

Structure (CIF):
```
data_Ho2PaPt9
_space_group_name_H-M_alt 'P 1'
_space_group_IT_number 1
_cell_length_a 4.138
_cell_length_b 4.138
_cell_length_c 12.360
_cell_angle_alpha 90.00
_cell_angle_beta 90.00
_cell_angle_gamma 90.00
loop_
_space_group_symop_operation_xyz
'x,y,z'
loop_
_atom_site_label
_atom_site_type_symbol
_atom_site_fract_x
_atom_site_fract_y
_atom_site_fract_z
Pt1 Pt 0.500 0.000 0.836
Pt2 Pt 0.500 0.500 0.667
Pt3 Pt 0.500 0.500 0.000
Pt4 Pt 0.500 0.000 0.164
Pt5 Pt 0.000 0.500 0.164
Ho1 Ho 0.000 0.000 0.662
Pa1 Pa 0.000 0.000 0.000
Pt6 Pt 0.500 0.500 0.333
Pt7 Pt 0.000 0.500 0.836
Ho2 Ho 0.000 0.000 0.338
Pt8 Pt 0.000 0.500 0.500
Pt9 Pt 0.500 0.000 0.500
```

***

A relaxed TcNiMoRh crystal, computed with GGA-PBE.

Computed properties:
Its formation energy is 1.8 kcal/mol of atoms. The value obtained for the spin magnetization is 0.0 μB per cell. The calculation puts the calculated volume at 56.2 Å³/cell. For the total DFT energy (no corrections), the calculation gives -8.5054 eV per atom.

Structure (CIF):
```
data_TcNiMoRh
_space_group_name_H-M_alt 'P 1'
_space_group_IT_number 1
_cell_length_a 4.300
_cell_length_b 4.300
_cell_length_c 4.300
_cell_angle_alpha 60.00
_cell_angle_beta 60.00
_cell_angle_gamma 60.00
loop_
_space_group_symop_operation_xyz
'x,y,z'
loop_
_atom_site_label
_atom_site_type_symbol
_atom_site_fract_x
_atom_site_fract_y
_atom_site_fract_z
Ni1 Ni 0.000 0.000 0.000
Tc1 Tc 0.750 0.750 0.750
Mo1 Mo 0.500 0.500 0.500
Rh1 Rh 0.250 0.250 0.250
```

***

A relaxed La2SnSb4 crystal, computed with GGA-PBE.

Computed properties:
The calculation puts the uncorrected formation energy at -622.3 meV/atom. The value obtained for the spin magnetization is 0.0 μB per cell. The calculation puts the calculated volume at 435.7 Å³/cell. For the total DFT energy (no corrections), the calculation gives -4.9576 eV per atom.

Structure (CIF):
```
data_La2SnSb4
_space_group_name_H-M_alt 'P 1'
_space_group_IT_number 1
_cell_length_a 6.788
_cell_length_b 8.536
_cell_length_c 9.400
_cell_angle_alpha 53.12
_cell_angle_beta 90.00
_cell_angle_gamma 90.00
loop_
_space_group_symop_operation_xyz
'x,y,z'
loop_
_atom_site_label
_atom_site_type_symbol
_atom_site_fract_x
_atom_site_fract_y
_atom_site_fract_z
Sb1 Sb 0.985 0.474 0.276
La1 La 0.270 0.278 0.615
Sb2 Sb 0.739 0.215 0.123
Sb3 Sb 0.761 0.215 0.623
Sb4 Sb 0.261 0.785 0.877
La2 La 0.770 0.722 0.885
Sb5 Sb 0.239 0.785 0.377
Sb6 Sb 0.015 0.526 0.724
La3 La 0.730 0.722 0.385
Sb7 Sb 0.515 0.474 0.776
Sn1 Sn 0.000 0.000 0.000
La4 La 0.230 0.278 0.115
Sb8 Sb 0.485 0.526 0.224
Sn2 Sn 0.500 0.000 0.500
```

***

A relaxed Nd2Dy6Er crystal, computed with GGA-PBE.

Computed properties:
Its formation energy is 2.6 kcal/mol of atoms. The value obtained for the spin magnetization is 0.0 μB per cell. The calculation puts the calculated volume at 585.4 Å³/cell. For the total DFT energy (no corrections), the calculation gives -4.5210 eV per atom.

Structure (CIF):
```
data_Nd2Dy6Er
_space_group_name_H-M_alt 'P 1'
_space_group_IT_number 1
_cell_length_a 6.586
_cell_length_b 9.607
_cell_length_c 9.607
_cell_angle_alpha 96.32
_cell_angle_beta 80.49
_cell_angle_gamma 80.49
loop_
_space_group_symop_operation_xyz
'x,y,z'
loop_
_atom_site_label
_atom_site_type_symbol
_atom_site_fract_x
_atom_site_fract_y
_atom_site_fract_z
Dy1 Dy 0.815 0.960 0.778
Dy2 Dy 0.505 0.652 0.276
Dy3 Dy 0.185 0.040 0.222
Er1 Er 0.750 0.883 0.117
Nd1 Nd 0.626 0.669 0.619
Nd2 Nd 0.126 0.619 0.669
Dy4 Dy 0.228 0.461 0.059
Dy5 Dy 0.495 0.348 0.724
Dy6 Dy 0.005 0.276 0.652
Nd3 Nd 0.374 0.331 0.381
Dy7 Dy 0.685 0.222 0.040
Er2 Er 0.250 0.117 0.883
Dy8 Dy 0.772 0.539 0.941
Dy9 Dy 0.272 0.941 0.539
Dy10 Dy 0.728 0.059 0.461
Nd4 Nd 0.874 0.381 0.331
Dy11 Dy 0.995 0.724 0.348
Dy12 Dy 0.315 0.778 0.960
```

***

A relaxed Nd2ThBr crystal, computed with GGA-PBE.

Computed properties:
The calculation puts the uncorrected formation energy at -574.4 meV/atom. The value obtained for the spin magnetization is 0.0 μB per cell. The calculation puts the calculated volume at 126.1 Å³/cell. For the total DFT energy (no corrections), the calculation gives -5.2315 eV per atom.

Structure (CIF):
```
data_Nd2ThBr
_space_group_name_H-M_alt 'P 1'
_space_group_IT_number 1
_cell_length_a 3.752
_cell_length_b 3.752
_cell_length_c 10.563
_cell_angle_alpha 79.77
_cell_angle_beta 79.77
_cell_angle_gamma 60.00
loop_
_space_group_symop_operation_xyz
'x,y,z'
loop_
_atom_site_label
_atom_site_type_symbol
_atom_site_fract_x
_atom_site_fract_y
_atom_site_fract_z
Nd1 Nd 0.257 0.257 0.230
Th1 Th 0.500 0.500 0.500
Nd2 Nd 0.743 0.743 0.770
Br1 Br 0.000 0.000 0.000
```

***

A relaxed HfCuSn2 crystal, computed with GGA-PBE.

Computed properties:
Its formation energy is 1.7 kcal/mol of atoms. The value obtained for the spin magnetization is 0.0 μB per cell. The calculation puts the calculated volume at 91.1 Å³/cell. For the total DFT energy (no corrections), the calculation gives -5.4391 eV per atom.

Structure (CIF):
```
data_HfCuSn2
_space_group_name_H-M_alt 'P 1'
_space_group_IT_number 1
_cell_length_a 3.243
_cell_length_b 3.243
_cell_length_c 10.171
_cell_angle_alpha 80.83
_cell_angle_beta 80.83
_cell_angle_gamma 60.00
loop_
_space_group_symop_operation_xyz
'x,y,z'
loop_
_atom_site_label
_atom_site_type_symbol
_atom_site_fract_x
_atom_site_fract_y
_atom_site_fract_z
Hf1 Hf 0.500 0.500 0.500
Cu1 Cu 0.000 0.000 0.000
Sn1 Sn 0.084 0.084 0.747
Sn2 Sn 0.916 0.916 0.253
```

***

A relaxed Pr3Dy7Ho crystal, computed with GGA-PBE.

Computed properties:
Its formation energy is 3.9 kcal/mol of atoms. The value obtained for the spin magnetization is 0.0 μB per cell. The calculation puts the calculated volume at 379.8 Å³/cell. For the total DFT energy (no corrections), the calculation gives -4.4771 eV per atom.

Structure (CIF):
```
data_Pr3Dy7Ho
_space_group_name_H-M_alt 'P 1'
_space_group_IT_number 1
_cell_length_a 8.720
_cell_length_b 7.092
_cell_length_c 7.092
_cell_angle_alpha 120.00
_cell_angle_beta 90.00
_cell_angle_gamma 90.00
loop_
_space_group_symop_operation_xyz
'x,y,z'
loop_
_atom_site_label
_atom_site_type_symbol
_atom_site_fract_x
_atom_site_fract_y
_atom_site_fract_z
Dy1 Dy 0.122 0.167 0.335
Dy2 Dy 0.122 0.665 0.833
Pr1 Pr 0.783 0.500 0.000
Dy3 Dy 0.445 0.335 0.167
Dy4 Dy 0.445 0.833 0.665
Pr2 Pr 0.783 0.500 0.500
Dy5 Dy 0.445 0.833 0.167
Dy6 Dy 0.123 0.667 0.333
Pr3 Pr 0.783 0.000 0.500
Dy7 Dy 0.122 0.167 0.833
Ho1 Ho 0.443 0.333 0.667
```

***

A relaxed CeH6Pt3 crystal, computed with GGA-PBE.

Computed properties:
The value obtained for the spin magnetization is 0.4 μB per cell. The calculation puts the calculated volume at 97.8 Å³/cell. For the total DFT energy (no corrections), the calculation gives -4.6895 eV per atom.

Structure (CIF):
```
data_CeH6Pt3
_space_group_name_H-M_alt 'P 1'
_space_group_IT_number 1
_cell_length_a 4.891
_cell_length_b 4.895
_cell_length_c 5.504
_cell_angle_alpha 89.95
_cell_angle_beta 116.48
_cell_angle_gamma 120.04
loop_
_space_group_symop_operation_xyz
'x,y,z'
loop_
_atom_site_label
_atom_site_type_symbol
_atom_site_fract_x
_atom_site_fract_y
_atom_site_fract_z
H1 H 0.800 0.034 0.199
Pt1 Pt 0.293 0.147 0.440
H2 H 0.798 0.391 0.700
Pt2 Pt 0.801 0.402 0.200
H3 H 0.434 0.401 0.201
Pt3 Pt 0.307 0.653 0.960
H4 H 0.291 0.897 0.701
H5 H 0.307 0.407 0.699
H6 H 0.169 0.768 0.200
Ce1 Ce 0.800 0.900 0.700
```